(1)
A relaxed CoAg2Rh crystal. Source: Alexandria, functional GGA-PBE.

a = 4.7532 Å, b = 4.7532 Å, c = 4.7532 Å
α = 130.23°, β = 130.23°, γ = 73.04°
Last column: magnetic moment on the atom in μB.
Positions (direct):
1 Co 0.5000 0.5000 0.0000  1.98
2 Ag 0.0000 0.0000 0.0000  0.02
3 Ag 0.2500 0.7500 0.5000  0.02
4 Rh 0.7500 0.2500 0.5000  0.74

Properties
Energy above the most stable polymorph in this dataset: 0.176 eV per atom
Space group: I-4m2
Calculated total energy: -18.74 eV per formula unit
E_form: 0.3556 eV per atom



(2)
A relaxed CoAgRh2 crystal. Source: Alexandria, functional GGA-PBE.

a = 4.7784 Å, b = 4.7784 Å, c = 4.7184 Å
α = 78.14°, β = 78.14°, γ = 33.24°
Last column: magnetic moment on the atom in μB.
Positions (direct):
1 Ag 0.7500 0.7500 0.7500  0.05
2 Rh 0.9873 0.9873 0.0165  0.53
3 Rh 0.5127 0.5127 0.4835  0.53
4 Co 0.2500 0.2500 0.2500  2.02

Properties
Energy above the most stable polymorph in this dataset: 0.089 eV per atom
Space group: C2/m
Calculated total energy: -23.73 eV per formula unit
E_form: 0.2314 eV per atom



(3)
A relaxed CoAgRh2 crystal. Source: Alexandria, functional GGA-PBE.

a = 4.1933 Å, b = 2.7158 Å, c = 5.3506 Å
α = 74.05°, β = 90.00°, γ = 90.00°
Last column: magnetic moment on the atom in μB.
Positions (direct):
1 Co 0.5000 0.7500 0.7500  2.03
2 Rh 0.0000 0.9019 0.9785  0.59
3 Rh 0.0000 0.5981 0.5215  0.59
4 Ag 0.5000 0.2500 0.2500  0.03

Properties
Energy above the most stable polymorph in this dataset: 0.165 eV per atom
Space group: P2/m
Calculated total energy: -23.43 eV per formula unit
E_form: 0.3079 eV per atom



(4)
A relaxed Co4AgRh crystal. Source: Alexandria, functional GGA-PBE.

a = 4.7678 Å, b = 4.7678 Å, c = 4.7678 Å
α = 60.00°, β = 60.00°, γ = 60.00°
Last column: magnetic moment on the atom in μB.
Positions (direct):
1 Ag 0.0000 0.0000 0.0000  0.01
2 Rh 0.2500 0.2500 0.2500  0.82
3 Co 0.1249 0.6250 0.6250  1.80
4 Co 0.6250 0.1249 0.6250  1.80
5 Co 0.6250 0.6250 0.1249  1.80
6 Co 0.6250 0.6250 0.6250  1.80

Properties
Space group: F-43m
Calculated total energy: -37.47 eV per formula unit
E_form: 0.1926 eV per atom



no.,M_tot (μB per formula unit)
1,2.7
2,3.1
3,3.2
4,7.9